Here is an optimized crystal structure of Pm3NdPt8 from Alexandria. Energies are from GGA-PBE.

Properties
E   -6.627 eV/atom
DOS(E_F)   4.87 states/eV/cell
Size of the total moment   0.0 μB/cell
Formation enthalpy at 0 K   -12.18 eV per formula unit

Unit cell a=5.514 b=5.514 c=9.029 alpha=90.00 beta=90.00 gamma=120.00
Fractional positions:
Pm (0.000, 0.000, 0.000)
Pm (0.000, 0.000, 0.370)
Pm (0.333, 0.667, 0.871)
Nd (0.333, 0.667, 0.501)
Pt (0.003, 0.502, 0.185)
Pt (0.330, 0.165, 0.686)
Pt (0.498, 0.502, 0.185)
Pt (0.498, 0.997, 0.185)
Pt (0.667, 0.333, 0.435)
Pt (0.667, 0.333, 0.935)
Pt (0.835, 0.165, 0.686)
Pt (0.835, 0.670, 0.686)


Here is an optimized crystal structure of Pm2NdPt from Alexandria. Energies are from GGA-PBE.

Properties
E   -5.556 eV/atom
DOS(E_F)   4.53 states/eV/cell
Size of the total moment   0.0 μB/cell
Relative energy among the computed polymorphs   3.62 kcal/mol of atoms
Formation enthalpy at 0 K   -1.91 eV per formula unit

Unit cell a=9.584 b=9.584 c=9.584 alpha=24.23 beta=24.23 gamma=24.23
Fractional positions:
Pm (0.000, 0.000, 0.000)
Pm (0.212, 0.212, 0.212)
Nd (0.441, 0.441, 0.441)
Pt (0.605, 0.605, 0.605)


Here is an optimized crystal structure of PmNd2Pt from Alexandria. Energies are from GGA-PBE.

Properties
E   -5.341 eV/atom
DOS(E_F)   6.12 states/eV/cell
Size of the total moment   0.5 μB/cell
Relative energy among the computed polymorphs   8.47 kcal/mol of atoms
Formation enthalpy at 0 K   -1.04 eV per formula unit

Unit cell a=11.028 b=11.028 c=11.028 alpha=19.94 beta=19.94 gamma=19.94
Fractional positions:
Pm (0.000, 0.000, 0.000)
Nd (0.110, 0.110, 0.110)
Nd (0.890, 0.890, 0.890)
Pt (0.500, 0.500, 0.500)


Question: Which formula does entry 2 have?
Answer: Pm2NdPt